No. 1
Entry from Alexandria via LeMat-Bulk: a relaxed structure of LiTaIr (GGA-PBEsol).

abc: 5.5912 5.5912 5.5912
angles: 90.00 90.00 90.00
Space group F-43m (No. 216)
Unique sites:
Li1 0.0000 0.0000 0.0000 (multiplicity 4)
Ta1 0.2500 0.2500 0.2500 (multiplicity 4)
Ir1 0.2500 0.2500 0.7500 (multiplicity 4)

Calculated values
* calculated volume: 14.6 A^3/atom
* size of the total moment: 0.00 μB/cell
* energy above the lowest structure with this stoichiometry: 696 meV/atom
* final energy: -7.61 eV/atom
* calculated formation energy: 0.51 eV per atom

---

No. 2
Entry from Alexandria via LeMat-Bulk: a relaxed structure of MgBeCd (GGA-PBEsol).

abc: 6.1604 6.1604 6.1604
angles: 90.00 90.00 90.00
Space group F-43m (No. 216)
Unique sites:
Mg1 0.0000 0.0000 0.0000 (multiplicity 4)
Be1 0.0000 0.0000 0.5000 (multiplicity 4)
Cd1 0.2500 0.2500 0.2500 (multiplicity 4)

Calculated values
* calculated volume: 19.5 A^3/atom
* size of the total moment: 0.00 μB/cell
* final energy: -1.84 eV/atom
* calculated formation energy: 0.47 eV per atom

---

No. 3
Entry from Alexandria via LeMat-Bulk: a relaxed structure of KPtAu (GGA-PBEsol).

abc: 2.8363 2.8363 14.5474
angles: 90.00 90.00 90.00
Space group I4mm (No. 107)
Unique sites:
K1 0.0000 0.0000 0.0000 (multiplicity 2)
Pt1 0.0000 0.0000 0.3264 (multiplicity 2)
Au1 0.0000 0.0000 0.6873 (multiplicity 2)

Calculated values
* calculated volume: 19.5 A^3/atom
* size of the total moment: 0.00 μB/cell
* final energy: -3.80 eV/atom
* calculated formation energy: 0.21 eV per atom

---

No. 4
Entry from Alexandria via LeMat-Bulk: a relaxed structure of MgAlZn2 (GGA-PBEsol).

abc: 2.8708 2.8708 7.9314
angles: 90.00 90.00 90.00
Space group P4mm (No. 99)
Unique sites:
Mg1 0.0000 0.0000 0.0000 (multiplicity 1)
Al1 0.5000 0.5000 0.7164 (multiplicity 1)
Zn1 0.0000 0.0000 0.4769 (multiplicity 1)
Zn2 0.5000 0.5000 0.2546 (multiplicity 1)

Calculated values
* calculated volume: 16.3 A^3/atom
* size of the total moment: 0.00 μB/cell
* final energy: -2.23 eV/atom
* calculated formation energy: 0.01 eV per atom

---

Which value of calculated formation energy does entry 3 give? 0.21 eV per atom